# 1
Here is a relaxed structure of Hg2CSe from Alexandria. Energies are from PBE. Values from VASP.

Quantum ESPRESSO input file:
```
&SYSTEM
  ibrav = 0, nat = 4, ntyp = 3
/
ATOMIC_SPECIES
C 12.01 C.upf
Hg 200.59 Hg.upf
Se 78.96 Se.upf
CELL_PARAMETERS angstrom
0.000 3.440 3.440
3.440 0.000 3.440
3.440 3.440 0.000
ATOMIC_POSITIONS angstrom
C 0.000 0.000 0.000
Hg 5.159 5.159 5.159
Hg 1.720 1.720 1.720
Se 3.440 3.440 3.440
```

Calculated values
Energy above the most stable polymorph in this dataset = 611 meV/atom
E_tot = -1.67 eV per atom
Density = 10.042 Mg/m³
Symmetry = Fm-3m
Crystal system = cubic
Fermi-level density of states = 3.2 states/eV per cell
E_form (uncorrected) = 1.657 eV/atom

# 2
Here is a relaxed structure of HgCSe2 from Alexandria. Energies are from PBE. Values from VASP.

Quantum ESPRESSO input file:
```
&SYSTEM
  ibrav = 0, nat = 4, ntyp = 3
/
ATOMIC_SPECIES
Hg 200.59 Hg.upf
Se 78.96 Se.upf
C 12.01 C.upf
CELL_PARAMETERS angstrom
-1.306 -4.201 1.733
-4.468 -0.703 1.379
-2.837 -2.819 -2.522
ATOMIC_POSITIONS angstrom
Hg -4.305 -3.862 0.295
Se -2.153 -1.931 0.147
Se -6.458 -5.793 0.442
C 0.000 0.000 0.000
```

Calculated values
Energy above the most stable polymorph in this dataset = 1190 meV/atom
E_tot = -2.40 eV per atom
Density = 8.231 Mg/m³
Symmetry = Fm-3m
Crystal system = cubic
Fermi-level density of states = 2.1 states/eV per cell
E_form (uncorrected) = 1.721 eV/atom

# 3
Here is a relaxed structure of Hg2CSe from Alexandria. Energies are from PBE. Values from VASP.

Quantum ESPRESSO input file:
```
&SYSTEM
  ibrav = 0, nat = 8, ntyp = 3
/
ATOMIC_SPECIES
Hg 200.59 Hg.upf
Se 78.96 Se.upf
C 12.01 C.upf
CELL_PARAMETERS angstrom
-5.231 -2.563 0.967
2.594 -3.967 3.521
-2.103 -0.101 6.385
ATOMIC_POSITIONS angstrom
Hg 0.010 -3.036 3.998
Hg -2.352 -2.852 6.763
Hg -3.039 -1.911 2.561
Hg -4.098 -5.462 8.425
Se -4.326 -2.964 4.798
Se 0.000 0.000 0.000
C -1.318 -3.265 2.244
C -0.414 -3.666 6.075
```

Calculated values
Energy above the most stable polymorph in this dataset = 0 meV/atom
E_tot = -2.28 eV per atom
Density = 8.896 Mg/m³
Symmetry = I-42d
Crystal system = tetragonal
Fermi-level density of states = 2.6 states/eV per cell
E_form (uncorrected) = 1.046 eV/atom

# 4
Here is a relaxed structure of Hg3CSe from Alexandria. Energies are from PBE. Values from VASP.

Quantum ESPRESSO input file:
```
&SYSTEM
  ibrav = 0, nat = 5, ntyp = 3
/
ATOMIC_SPECIES
Hg 200.59 Hg.upf
C 12.01 C.upf
Se 78.96 Se.upf
CELL_PARAMETERS angstrom
-0.890 -1.990 4.177
2.706 -3.674 -1.174
3.753 2.177 1.837
ATOMIC_POSITIONS angstrom
Hg 1.877 1.089 0.918
Hg 1.353 -1.837 -0.587
Hg -0.445 -0.995 2.088
C 0.000 0.000 0.000
Se 2.785 -1.743 2.420
```

Calculated values
Energy above the most stable polymorph in this dataset = 0 meV/atom
E_tot = -1.85 eV per atom
Density = 10.998 Mg/m³
Symmetry = Pm-3m
Crystal system = cubic
Fermi-level density of states = 1.2 states/eV per cell
E_form (uncorrected) = 0.875 eV/atom

# 5
Here is a relaxed structure of HgCSe2 from Alexandria. Energies are from PBE. Values from VASP.

Quantum ESPRESSO input file:
```
&SYSTEM
  ibrav = 0, nat = 4, ntyp = 3
/
ATOMIC_SPECIES
Se 78.96 Se.upf
C 12.01 C.upf
Hg 200.59 Hg.upf
CELL_PARAMETERS angstrom
-2.566 5.951 0.636
2.382 3.792 4.728
3.692 5.054 -1.797
ATOMIC_POSITIONS angstrom
Se 3.124 13.179 3.177
Se 0.384 1.618 0.390
C 0.000 0.000 0.000
Hg 1.754 7.398 1.784
```

Calculated values
Energy above the most stable polymorph in this dataset = 0 meV/atom
E_tot = -3.59 eV per atom
Density = 2.974 Mg/m³
Symmetry = R-3m
Crystal system = trigonal
Fermi-level density of states = 0.0 states/eV per cell
E_form (uncorrected) = 0.531 eV/atom

# 6
Here is a relaxed structure of HgCSe2 from Alexandria. Energies are from PBE. Values from VASP.

Quantum ESPRESSO input file:
```
&SYSTEM
  ibrav = 0, nat = 8, ntyp = 3
/
ATOMIC_SPECIES
C 12.01 C.upf
Se 78.96 Se.upf
Hg 200.59 Hg.upf
CELL_PARAMETERS angstrom
-6.502 0.479 -1.110
-1.036 -5.340 3.762
-4.137 -0.145 4.468
ATOMIC_POSITIONS angstrom
C -4.471 -3.958 4.778
C -3.769 -2.430 1.326
Se -6.058 -2.596 4.813
Se -4.419 -0.464 1.031
Se -9.569 -3.698 5.203
Se -3.303 -3.254 3.191
Hg 0.000 0.000 0.000
Hg -7.204 -1.048 2.342
```

Calculated values
Energy above the most stable polymorph in this dataset = 298 meV/atom
E_tot = -3.30 eV per atom
Density = 7.209 Mg/m³
Symmetry = I-42d
Crystal system = tetragonal
Fermi-level density of states = 0.0 states/eV per cell
E_form (uncorrected) = 0.828 eV/atom